# PBE ThSc2Ga4, optimized geometry
data_ThSc2Ga4
_chemical_formula_sum 'Th2 Sc4 Ga8'
_cell_length_a 4.0767
_cell_length_b 4.1558
_cell_length_c 17.6725
_cell_angle_alpha 90.00
_cell_angle_beta 90.00
_cell_angle_gamma 90.00
_symmetry_space_group_name_H-M 'I m m m'
_symmetry_Int_Tables_number 71
_symmetry_space_group_name_Hall '-I 2 2'
loop_
_atom_site_label
_atom_site_type_symbol
_atom_site_fract_x
_atom_site_fract_y
_atom_site_fract_z
Th1 Th 0.0000 0.0000 0.0000
Sc1 Sc 0.0000 0.5000 0.3150
Ga1 Ga 0.0000 0.0000 0.4286
Ga2 Ga 0.0000 0.5000 0.1549
# **Raw total energy**: -5.2030 eV/atom
# **DFT formation energy**: -408 kJ/mol of formula units
# **Calculated volume**: 149.71 Å³/f.u.